Record 1
Ta2Os2Se | PBEsol | optimized geometry Values from VASP.

Total magnetization = 0.00 μB per cell
Fermi-level density of states = 1.94 states/eV per cell
Energy relative to the elements, uncorrected = 0.315 eV per atom
Space-group type = I4/mmm

Quantum ESPRESSO input file:
```
&SYSTEM
  ibrav = 0, nat = 5, ntyp = 3
/
ATOMIC_SPECIES
Ta 180.95 Ta.upf
Os 190.23 Os.upf
Se 78.96 Se.upf
CELL_PARAMETERS angstrom
-4.0246 -0.1151 1.3068
1.1015 -2.5868 3.1644
2.3734 5.6363 0.9502
ATOMIC_POSITIONS angstrom
Ta 1.0067 0.8493 3.1751
Ta -1.5563 2.0851 2.2463
Os -1.2429 -0.3236 2.9994
Os 0.6933 3.2580 2.4220
Se 0.0000 0.0000 0.0000
```

Record 2
TaOsSe | PBEsol | optimized geometry Values from VASP.

Total magnetization = 0.00 μB per cell
Fermi-level density of states = 2.19 states/eV per cell
Energy relative to the elements, uncorrected = 0.669 eV per atom
Space-group type = F-43m

Quantum ESPRESSO input file:
```
&SYSTEM
  ibrav = 0, nat = 3, ntyp = 3
/
ATOMIC_SPECIES
Os 190.23 Os.upf
Se 78.96 Se.upf
Ta 180.95 Ta.upf
CELL_PARAMETERS angstrom
-4.0798 -0.4977 -0.7274
-1.2834 -2.6232 -2.9821
-1.8834 -3.5776 1.0366
ATOMIC_POSITIONS angstrom
Os -3.6233 -3.3493 -1.3364
Se -5.4349 -5.0239 -2.0046
Ta 0.0000 0.0000 0.0000
```

Record 3
TaOs2Se | PBEsol | optimized geometry Values from VASP.

Total magnetization = 0.00 μB per cell
Fermi-level density of states = 3.60 states/eV per cell
Energy relative to the elements, uncorrected = 0.466 eV per atom
Space-group type = Cmmm

Quantum ESPRESSO input file:
```
&SYSTEM
  ibrav = 0, nat = 4, ntyp = 3
/
ATOMIC_SPECIES
Se 78.96 Se.upf
Os 190.23 Os.upf
Ta 180.95 Ta.upf
CELL_PARAMETERS angstrom
-0.6291 1.9370 1.9338
-1.9775 -1.9600 -0.3677
3.8040 -5.0119 6.2576
ATOMIC_POSITIONS angstrom
Se 0.5987 -2.5175 3.9119
Os 0.9039 -1.1909 1.4869
Os 2.9001 -3.8210 4.7707
Ta -1.3033 -0.0115 0.7831
```

Record 4
TcOsSe2 | PBEsol | optimized geometry Values from VASP.

Total magnetization = 0.00 μB per cell
Fermi-level density of states = 3.59 states/eV per cell
Energy relative to the elements, uncorrected = 0.576 eV per atom
Space-group type = R-3m

Quantum ESPRESSO input file:
```
&SYSTEM
  ibrav = 0, nat = 4, ntyp = 3
/
ATOMIC_SPECIES
Tc 98.00 Tc.upf
Os 190.23 Os.upf
Se 78.96 Se.upf
CELL_PARAMETERS angstrom
-0.4417 0.9356 2.8449
-0.3085 -2.0252 2.2287
7.9787 -0.2514 2.9320
ATOMIC_POSITIONS angstrom
Tc 0.0000 0.0000 0.0000
Os 3.6143 -0.6705 4.0028
Se 1.5487 -1.0584 5.4203
Se 5.6798 -0.2826 2.5853
```

Record 5
TcOs2Se | PBEsol | optimized geometry Values from VASP.

Total magnetization = 0.00 μB per cell
Fermi-level density of states = 3.06 states/eV per cell
Energy relative to the elements, uncorrected = 0.381 eV per atom
Space-group type = C2/m

Quantum ESPRESSO input file:
```
&SYSTEM
  ibrav = 0, nat = 4, ntyp = 3
/
ATOMIC_SPECIES
Se 78.96 Se.upf
Os 190.23 Os.upf
Tc 98.00 Tc.upf
CELL_PARAMETERS angstrom
-1.1916 2.2661 1.1970
-3.9397 -1.8776 -0.3675
1.2899 -3.0425 3.7076
ATOMIC_POSITIONS angstrom
Se -1.9699 -0.9388 -0.1837
Os -3.2234 -1.3642 2.7104
Os -0.6181 -1.2899 1.8267
Tc -0.5958 1.1330 0.5985
```

Record 6
TcOs2Se | PBEsol | optimized geometry Values from VASP.

Total magnetization = 0.00 μB per cell
Fermi-level density of states = 2.92 states/eV per cell
Energy relative to the elements, uncorrected = 0.508 eV per atom
Space-group type = Pmm2

Quantum ESPRESSO input file:
```
&SYSTEM
  ibrav = 0, nat = 4, ntyp = 3
/
ATOMIC_SPECIES
Tc 98.00 Tc.upf
Se 78.96 Se.upf
Os 190.23 Os.upf
CELL_PARAMETERS angstrom
-0.4687 -2.7966 -0.2069
1.4850 -0.5096 3.5245
-4.9020 0.6616 2.1610
ATOMIC_POSITIONS angstrom
Tc -2.9599 -1.1850 3.1877
Se -2.6890 0.3630 1.1855
Os -0.5215 -1.5141 2.1127
Os -0.1661 0.0224 0.0732
```